[1]
Al3P3H9C3NO14: single point on PBEsol structure, meta-GGA SCAN.

Properties
* E_tot: -8.26 eV per atom
* total magnetic moment: 0.00 μB/cell

Cell lengths 8.635, 9.027, 9.027 Å; angles 91.73, 93.81, 86.19 degrees
Fractional positions:
P 0.465 0.563 0.156
N 0.492 0.063 0.433
P 0.176 0.084 0.946
O 0.604 0.569 0.271
O 0.058 0.111 0.066
Al 0.211 0.565 0.396
O 0.313 0.579 0.239
P 0.965 0.844 0.437
H 0.731 0.292 0.796
O 0.809 0.021 0.814
N 0.992 0.567 0.937
H 0.882 0.648 0.740
O 0.333 0.251 0.697
Al 0.910 0.086 0.181
O 0.813 0.761 0.421
H 0.107 0.393 0.049
O 0.880 0.257 0.277
H 0.382 0.260 0.352
O 0.966 0.943 0.302
Al 0.914 0.109 0.671
Al 0.711 0.604 0.435
H 0.755 0.544 0.957
O 0.978 0.930 0.583
H 0.880 0.475 0.108
H 0.380 0.892 0.525
O 0.335 0.518 0.553
O 0.729 0.122 0.535
H 0.842 0.673 0.086
H 0.958 0.786 0.864
P 0.956 0.332 0.416
O 0.099 0.117 0.791
O 0.739 0.046 0.080
H 0.458 0.136 0.214
O 0.593 0.634 0.584
O 0.478 0.417 0.070
C 0.861 0.565 0.028
H 0.607 0.951 0.607
C 0.981 0.673 0.819
O 0.239 0.920 0.954
C 0.613 0.043 0.530
P 0.676 0.054 0.916
H 0.255 0.043 0.456
P 0.456 0.584 0.668
C 0.481 0.181 0.327
O 0.833 0.303 0.749
O 0.835 0.447 0.482
H 0.231 0.204 0.708
O 0.093 0.416 0.366
H 0.813 0.373 0.667
H 0.342 0.914 0.327
C 0.113 0.470 0.957
H 0.313 0.333 0.627
C 0.361 0.972 0.435
O 0.104 0.729 0.431
O 0.380 0.723 0.743
O 0.229 0.465 0.878
O 0.466 0.698 0.057
H 0.090 0.667 0.762
O 0.309 0.186 0.979
O 0.013 0.222 0.535
O 0.599 0.209 0.883
O 0.513 0.465 0.778
Al 0.410 0.819 0.914
Al 0.414 0.329 0.891
O 0.558 0.934 0.889
H 0.590 0.238 0.333



[2]
Al3P4H18C3N3O16: single point on PBEsol structure, meta-GGA SCAN.

Properties
* E_tot: -7.61 eV per atom
* total magnetic moment: 0.40 μB/cell

Cell lengths 8.353, 11.251, 11.462 Å; angles 73.02, 89.57, 85.05 degrees
Fractional positions:
H 0.777 0.001 0.388
H 0.751 0.273 0.124
H 0.647 0.071 0.475
H 0.353 0.929 0.525
C 0.465 0.466 0.245
H 0.586 0.482 0.694
H 0.440 0.521 0.150
H 0.071 0.692 0.816
O 0.604 0.720 0.097
O 0.617 0.110 0.983
C 0.044 0.729 0.981
H 0.107 0.842 0.810
O 0.964 0.206 0.641
O 0.141 0.428 0.766
H 0.893 0.158 0.190
P 0.980 0.469 0.313
O 0.496 0.811 0.495
O 0.396 0.280 0.903
N 0.123 0.747 0.863
P 0.523 0.232 0.618
H 0.442 0.302 0.205
H 0.903 0.994 0.585
H 0.267 0.360 0.259
H 0.223 0.999 0.612
O 0.637 0.706 0.351
H 0.876 0.843 0.570
H 0.906 0.212 0.969
H 0.097 0.006 0.415
P 0.973 0.896 0.241
O 0.648 0.330 0.599
P 0.020 0.531 0.687
O 0.451 0.731 0.904
N 0.394 0.346 0.270
O 0.104 0.532 0.371
N 0.292 0.013 0.530
H 0.929 0.308 0.184
H 0.414 0.518 0.306
O 0.116 0.615 0.584
H 0.086 0.243 0.035
O 0.105 0.992 0.726
O 0.036 0.794 0.359
O 0.115 0.933 0.154
H 0.249 0.727 0.876
H 0.425 0.289 0.358
O 0.895 0.008 0.274
O 0.936 0.608 0.762
O 0.549 0.269 0.096
N 0.708 0.987 0.470
H 0.378 0.076 0.532
O 0.504 0.189 0.505
H 0.560 0.479 0.850
H 0.061 0.630 0.035
C 0.814 0.931 0.578
O 0.064 0.392 0.238
O 0.577 0.118 0.728
H 0.094 0.788 0.031
H 0.575 0.711 0.642
O 0.896 0.468 0.629
O 0.884 0.385 0.416
O 0.885 0.067 0.846
Al 0.319 0.953 0.134
Al 0.681 0.047 0.866
O 0.646 0.890 0.905
C 0.956 0.271 0.019
O 0.352 0.670 0.401
H 0.914 0.757 0.965
H 0.939 0.370 0.965
O 0.855 0.838 0.175
H 0.558 0.698 0.795
C 0.535 0.534 0.755
O 0.363 0.294 0.649
H 0.741 0.911 0.661
O 0.383 0.890 0.017
Al 0.148 0.653 0.428
C 0.186 0.069 0.422
H 0.596 0.449 0.260
P 0.477 0.768 0.382
Al 0.261 0.289 0.785
N 0.877 0.253 0.137
O 0.859 0.572 0.234
P 0.027 0.104 0.759
P 0.519 0.806 0.979
P 0.481 0.194 0.021
O 0.423 0.882 0.272
Al 0.852 0.347 0.572
H 0.404 0.551 0.740
H 0.622 0.924 0.468
N 0.606 0.654 0.730
O 0.145 0.162 0.825
Al 0.739 0.711 0.215
O 0.354 0.110 0.095
H 0.733 0.640 0.741
H 0.124 0.157 0.430
H 0.259 0.089 0.339



- The highest E_tot belongs to which entry?
  Al3P4H18C3N3O16



- Look up the total magnetic moment of the first one.
  0.00 μB/cell



Please write out number 1 again, unchanged.
Al3P3H9C3NO14: single point on PBEsol structure, meta-GGA SCAN.

Properties
* E_tot: -8.26 eV per atom
* total magnetic moment: 0.00 μB/cell

Cell lengths 8.635, 9.027, 9.027 Å; angles 91.73, 93.81, 86.19 degrees
Fractional positions:
P 0.465 0.563 0.156
N 0.492 0.063 0.433
P 0.176 0.084 0.946
O 0.604 0.569 0.271
O 0.058 0.111 0.066
Al 0.211 0.565 0.396
O 0.313 0.579 0.239
P 0.965 0.844 0.437
H 0.731 0.292 0.796
O 0.809 0.021 0.814
N 0.992 0.567 0.937
H 0.882 0.648 0.740
O 0.333 0.251 0.697
Al 0.910 0.086 0.181
O 0.813 0.761 0.421
H 0.107 0.393 0.049
O 0.880 0.257 0.277
H 0.382 0.260 0.352
O 0.966 0.943 0.302
Al 0.914 0.109 0.671
Al 0.711 0.604 0.435
H 0.755 0.544 0.957
O 0.978 0.930 0.583
H 0.880 0.475 0.108
H 0.380 0.892 0.525
O 0.335 0.518 0.553
O 0.729 0.122 0.535
H 0.842 0.673 0.086
H 0.958 0.786 0.864
P 0.956 0.332 0.416
O 0.099 0.117 0.791
O 0.739 0.046 0.080
H 0.458 0.136 0.214
O 0.593 0.634 0.584
O 0.478 0.417 0.070
C 0.861 0.565 0.028
H 0.607 0.951 0.607
C 0.981 0.673 0.819
O 0.239 0.920 0.954
C 0.613 0.043 0.530
P 0.676 0.054 0.916
H 0.255 0.043 0.456
P 0.456 0.584 0.668
C 0.481 0.181 0.327
O 0.833 0.303 0.749
O 0.835 0.447 0.482
H 0.231 0.204 0.708
O 0.093 0.416 0.366
H 0.813 0.373 0.667
H 0.342 0.914 0.327
C 0.113 0.470 0.957
H 0.313 0.333 0.627
C 0.361 0.972 0.435
O 0.104 0.729 0.431
O 0.380 0.723 0.743
O 0.229 0.465 0.878
O 0.466 0.698 0.057
H 0.090 0.667 0.762
O 0.309 0.186 0.979
O 0.013 0.222 0.535
O 0.599 0.209 0.883
O 0.513 0.465 0.778
Al 0.410 0.819 0.914
Al 0.414 0.329 0.891
O 0.558 0.934 0.889
H 0.590 0.238 0.333



Please write out number 2 again, unchanged.
Al3P4H18C3N3O16: single point on PBEsol structure, meta-GGA SCAN.

Properties
* E_tot: -7.61 eV per atom
* total magnetic moment: 0.40 μB/cell

Cell lengths 8.353, 11.251, 11.462 Å; angles 73.02, 89.57, 85.05 degrees
Fractional positions:
H 0.777 0.001 0.388
H 0.751 0.273 0.124
H 0.647 0.071 0.475
H 0.353 0.929 0.525
C 0.465 0.466 0.245
H 0.586 0.482 0.694
H 0.440 0.521 0.150
H 0.071 0.692 0.816
O 0.604 0.720 0.097
O 0.617 0.110 0.983
C 0.044 0.729 0.981
H 0.107 0.842 0.810
O 0.964 0.206 0.641
O 0.141 0.428 0.766
H 0.893 0.158 0.190
P 0.980 0.469 0.313
O 0.496 0.811 0.495
O 0.396 0.280 0.903
N 0.123 0.747 0.863
P 0.523 0.232 0.618
H 0.442 0.302 0.205
H 0.903 0.994 0.585
H 0.267 0.360 0.259
H 0.223 0.999 0.612
O 0.637 0.706 0.351
H 0.876 0.843 0.570
H 0.906 0.212 0.969
H 0.097 0.006 0.415
P 0.973 0.896 0.241
O 0.648 0.330 0.599
P 0.020 0.531 0.687
O 0.451 0.731 0.904
N 0.394 0.346 0.270
O 0.104 0.532 0.371
N 0.292 0.013 0.530
H 0.929 0.308 0.184
H 0.414 0.518 0.306
O 0.116 0.615 0.584
H 0.086 0.243 0.035
O 0.105 0.992 0.726
O 0.036 0.794 0.359
O 0.115 0.933 0.154
H 0.249 0.727 0.876
H 0.425 0.289 0.358
O 0.895 0.008 0.274
O 0.936 0.608 0.762
O 0.549 0.269 0.096
N 0.708 0.987 0.470
H 0.378 0.076 0.532
O 0.504 0.189 0.505
H 0.560 0.479 0.850
H 0.061 0.630 0.035
C 0.814 0.931 0.578
O 0.064 0.392 0.238
O 0.577 0.118 0.728
H 0.094 0.788 0.031
H 0.575 0.711 0.642
O 0.896 0.468 0.629
O 0.884 0.385 0.416
O 0.885 0.067 0.846
Al 0.319 0.953 0.134
Al 0.681 0.047 0.866
O 0.646 0.890 0.905
C 0.956 0.271 0.019
O 0.352 0.670 0.401
H 0.914 0.757 0.965
H 0.939 0.370 0.965
O 0.855 0.838 0.175
H 0.558 0.698 0.795
C 0.535 0.534 0.755
O 0.363 0.294 0.649
H 0.741 0.911 0.661
O 0.383 0.890 0.017
Al 0.148 0.653 0.428
C 0.186 0.069 0.422
H 0.596 0.449 0.260
P 0.477 0.768 0.382
Al 0.261 0.289 0.785
N 0.877 0.253 0.137
O 0.859 0.572 0.234
P 0.027 0.104 0.759
P 0.519 0.806 0.979
P 0.481 0.194 0.021
O 0.423 0.882 0.272
Al 0.852 0.347 0.572
H 0.404 0.551 0.740
H 0.622 0.924 0.468
N 0.606 0.654 0.730
O 0.145 0.162 0.825
Al 0.739 0.711 0.215
O 0.354 0.110 0.095
H 0.733 0.640 0.741
H 0.124 0.157 0.430
H 0.259 0.089 0.339